No. 1
Rb3NiRh2Se6: relaxed, PBE.

Computed properties:
Formation energy without anion corrections (meV per atom): -608
E_tot (eV/atom): -4.300
Total magnetization (μB/f.u.): 1.05
V (Å³ per atom): 24.6

Geometry as CIF:
```
data_Rb3NiRh2Se6
_chemical_formula_sum 'Rb6 Ni2 Rh4 Se12'
_cell_length_a 6.7700
_cell_length_b 11.7206
_cell_length_c 7.7639
_cell_angle_alpha 90.00
_cell_angle_beta 106.93
_cell_angle_gamma 90.00
_space_group_name_H-M_alt 'C 1 2/m 1'
_space_group_IT_number 12
loop_
_space_group_symop_operation_xyz
'x,y,z'
'-x,-y,-z'
'-x,y,-z'
'x,-y,z'
'x+1/2,y+1/2,z'
'-x+1/2,-y+1/2,-z'
'-x+1/2,y+1/2,-z'
'x+1/2,-y+1/2,z'
loop_
_atom_site_label
_atom_site_type_symbol
_atom_site_fract_x
_atom_site_fract_y
_atom_site_fract_z
Rb1 Rb 0.0000 0.0000 0.0000
Rb2 Rb 0.0000 0.3320 0.0000
Ni1 Ni 0.0000 0.5000 0.5000
Rh1 Rh 0.0000 0.1667 0.5000
Se1 Se 0.2181 0.3350 0.6583
Se2 Se 0.2218 0.0000 0.6598
```

No. 2
RbNiRhSe3: relaxed, PBE.

Computed properties:
Formation energy without anion corrections (meV per atom): -568
E_tot (eV/atom): -4.661
Total magnetization (μB/f.u.): 0.00
V (Å³ per atom): 24.3

Geometry as CIF:
```
data_RbNiRhSe3
_chemical_formula_sum 'Rb2 Ni2 Rh2 Se6'
_cell_length_a 8.7378
_cell_length_b 3.8170
_cell_length_c 9.7303
_cell_angle_alpha 90.00
_cell_angle_beta 116.03
_cell_angle_gamma 90.00
_space_group_name_H-M_alt 'P 1 21/m 1'
_space_group_IT_number 11
loop_
_space_group_symop_operation_xyz
'x,y,z'
'-x,-y,-z'
'-x,y+1/2,-z'
'x,-y+1/2,z'
loop_
_atom_site_label
_atom_site_type_symbol
_atom_site_fract_x
_atom_site_fract_y
_atom_site_fract_z
Rb1 Rb 0.2389 0.2500 0.2628
Ni1 Ni 0.0891 0.2500 0.6133
Rh1 Rh 0.3153 0.7500 0.8453
Se1 Se 0.1295 0.2500 0.8633
Se2 Se 0.2056 0.7500 0.5519
Se3 Se 0.4838 0.7500 0.1330
```

No. 3
RbSiNi2Rh: relaxed, PBE.

Computed properties:
Formation energy without anion corrections (meV per atom): 1090
E_tot (eV/atom): -3.971
Total magnetization (μB/f.u.): 0.66
V (Å³ per atom): 21.5

Geometry as CIF:
```
data_RbSiNi2Rh
_chemical_formula_sum 'Rb1 Si1 Ni2 Rh1'
_cell_length_a 4.2814
_cell_length_b 4.2814
_cell_length_c 5.8558
_cell_angle_alpha 90.00
_cell_angle_beta 90.00
_cell_angle_gamma 90.00
_space_group_name_H-M_alt 'P 4/m m m'
_space_group_IT_number 123
_space_group_name_Hall '-P 4 2'
loop_
_atom_site_label
_atom_site_type_symbol
_atom_site_fract_x
_atom_site_fract_y
_atom_site_fract_z
Rb1 Rb 0.0000 0.0000 0.0000
Si1 Si 0.0000 0.0000 0.5000
Ni1 Ni 0.0000 0.5000 0.5000
Rh1 Rh 0.5000 0.5000 0.0000
```

No. 4
RbTcNiRh2: relaxed, PBE.

Computed properties:
E_tot (eV/atom): -5.107
Total magnetization (μB/f.u.): 5.25
Energy of formation (eV/atom): 1.26
V (Å³ per atom): 21.1

Geometry as CIF:
```
data_RbTcNiRh2
_chemical_formula_sum 'Rb1 Tc1 Ni1 Rh2'
_cell_length_a 4.7415
_cell_length_b 4.7415
_cell_length_c 4.6857
_cell_angle_alpha 90.00
_cell_angle_beta 90.00
_cell_angle_gamma 90.00
_space_group_name_H-M_alt 'P 4/m m m'
_space_group_IT_number 123
_space_group_name_Hall '-P 4 2'
loop_
_atom_site_label
_atom_site_type_symbol
_atom_site_fract_x
_atom_site_fract_y
_atom_site_fract_z
Rb1 Rb 0.0000 0.0000 0.0000
Tc1 Tc 0.5000 0.5000 0.0000
Ni1 Ni 0.5000 0.5000 0.5000
Rh1 Rh 0.0000 0.5000 0.5000
```